Here is a geometry-optimized TiGe2Pd8 structure from the Alexandria database. Energies are from PBE.

Cell: 7.3706 7.3706 6.4406 Å, 113.59 113.59 32.23°
With the nearest neighbours (Å) after each atom.
Fractional positions:
Ti 0.0000 0.0000 0.0000  8 Pd 2.66-2.75
Ge 0.3070 0.3070 0.3316  5 Pd 2.45-2.61
Ge 0.6930 0.6930 0.6684  5 Pd 2.45-2.61
Pd 0.1022 0.1022 0.4597  2 Ge 2.49, 1 Ti 2.70, 2 Pd 2.75
Pd 0.1741 0.1741 0.9374  1 Ge 2.45, 1 Ti 2.66
Pd 0.3360 0.3360 0.7594  3 Ge 2.61-2.76, 6 Pd 2.81-2.91
Pd 0.4668 0.4668 0.2478  1 Ge 2.54, 5 Pd 2.75-2.81, 2 Ti 2.75
Pd 0.5332 0.5332 0.7522  1 Ge 2.54, 5 Pd 2.75-2.81, 2 Ti 2.75
Pd 0.6640 0.6640 0.2406  3 Ge 2.61-2.76, 6 Pd 2.81-2.91
Pd 0.8259 0.8259 0.0626  1 Ge 2.45, 1 Ti 2.66
Pd 0.8978 0.8978 0.5403  2 Ge 2.49, 1 Ti 2.70, 2 Pd 2.75

Values from the calculation:
Total moment ... 0.00 μB/f.u.
Space-group type ... No. 12
E_form ... -0.4875 eV/atom
Calculated total energy ... -5.821 eV per atom